[1]
Density functional theory data (PBE) for crystalline PrH4Au at its relaxed geometry.

Unit cell a=7.728 b=4.982 c=4.088 alpha=90.00 beta=121.53 gamma=90.00
Fractional positions:
Pr (0.000, 0.000, 0.000)
Pr (0.500, 0.500, 0.000)
H (0.176, 0.231, 0.676)
H (0.176, 0.769, 0.676)
H (0.324, 0.269, 0.324)
H (0.324, 0.731, 0.324)
H (0.676, 0.269, 0.676)
H (0.676, 0.731, 0.676)
H (0.824, 0.231, 0.324)
H (0.824, 0.769, 0.324)
Au (0.000, 0.500, 0.500)
Au (0.500, 0.000, 0.500)

Computed properties:
Volume in Å³/cell: 134.2
Calculated total energy in eV per atom: -3.79
DOS at the Fermi energy in states/eV per cell: 1.29
Space group: C2/m

***

[2]
Density functional theory data (PBE) for crystalline Pr2H2Au at its relaxed geometry.

Unit cell a=3.803 b=3.803 c=13.069 alpha=90.00 beta=90.00 gamma=90.00
Fractional positions:
Pr (0.000, 0.000, 0.143)
Pr (0.000, 0.000, 0.857)
Pr (0.500, 0.500, 0.357)
Pr (0.500, 0.500, 0.643)
H (0.000, 0.500, 0.250)
H (0.000, 0.500, 0.750)
H (0.500, 0.000, 0.250)
H (0.500, 0.000, 0.750)
Au (0.000, 0.000, 0.500)
Au (0.500, 0.500, 0.000)

Computed properties:
Volume in Å³/cell: 189.0
Calculated total energy in eV per atom: -4.57
DOS at the Fermi energy in states/eV per cell: 5.98
Space group: I4/mmm

***

[3]
Density functional theory data (PBE) for crystalline PrH6Au2 at its relaxed geometry.

Unit cell a=6.687 b=6.536 c=8.066 alpha=53.27 beta=51.56 gamma=75.17
Fractional positions:
Pr (0.000, 0.000, 0.000)
Pr (0.250, 0.250, 0.250)
H (0.021, 0.316, 0.603)
H (0.063, 0.255, 0.077)
H (0.122, 0.736, 0.582)
H (0.173, 0.645, 0.187)
H (0.190, 0.647, 0.934)
H (0.255, 0.063, 0.605)
H (0.316, 0.021, 0.060)
H (0.645, 0.173, 0.995)
H (0.647, 0.190, 0.229)
H (0.668, 0.690, 0.128)
H (0.690, 0.668, 0.514)
H (0.736, 0.122, 0.560)
Au (0.147, 0.670, 0.401)
Au (0.468, 0.849, 0.580)
Au (0.670, 0.147, 0.782)
Au (0.849, 0.468, 0.103)

Computed properties:
Volume in Å³/cell: 217.5
Calculated total energy in eV per atom: -3.56
DOS at the Fermi energy in states/eV per cell: 1.77
Space group: Fdd2